1.
DFT (PBE) results for crystalline PaH2Ir at its relaxed geometry.

Output
The value obtained for the energy relative to the lowest polymorph listed for this composition is 0.570 eV per atom.

Cell lengths 3.1227, 3.1227, 5.8178 Å; angles 74.43, 74.43, 60.00 degrees
Atoms (fractional coordinates):
1 H 0.1372 0.1372 0.5884
2 H 0.8628 0.8628 0.4116
3 Pa 0.0000 0.0000 0.0000
4 Ir 0.5000 0.5000 0.5000



2.
DFT (PBE) results for crystalline Nb2TcTe2 at its relaxed geometry.

Output
The value obtained for the energy relative to the lowest polymorph listed for this composition is 0.259 eV per atom. The value obtained for the formation energy (no corrections) is 0.595 eV/atom.

Cell lengths 3.8872, 3.8872, 8.1932 Å; angles 76.28, 76.28, 90.00 degrees
Atoms (fractional coordinates):
1 Nb 0.7500 0.2500 0.5000
2 Nb 0.2500 0.7500 0.5000
3 Te 0.3890 0.3890 0.2220
4 Te 0.6110 0.6110 0.7780
5 Tc 0.0000 0.0000 0.0000



3.
DFT (PBE) results for crystalline Ba2Tl6CdSn at its relaxed geometry.

Output
The calculation puts the calculated formation energy at -0.133 eV per atom.

Cell lengths 6.3592, 10.7730, 10.6609 Å; angles 90.00, 90.00, 90.00 degrees
Atoms (fractional coordinates):
1 Ba 0.5000 0.7196 0.2647
2 Ba 0.0000 0.2804 0.7647
3 Ba 0.5000 0.7196 0.7353
4 Ba 0.0000 0.2804 0.2353
5 Tl 0.5000 0.0983 0.2524
6 Tl 0.5000 0.0983 0.7476
7 Tl 0.0000 0.9017 0.2476
8 Tl 0.0000 0.9017 0.7524
9 Tl 0.2491 0.9942 0.5000
10 Tl 0.7509 0.9942 0.5000
11 Tl 0.2488 0.4864 0.5000
12 Tl 0.7512 0.4864 0.5000
13 Tl 0.7488 0.5136 0.0000
14 Tl 0.2512 0.5136 0.0000
15 Tl 0.2509 0.0058 0.0000
16 Tl 0.7491 0.0058 0.0000
17 Cd 0.5000 0.2545 0.5000
18 Cd 0.0000 0.7455 0.0000
19 Sn 0.0000 0.7268 0.5000
20 Sn 0.5000 0.2732 0.0000



4.
DFT (PBE) results for crystalline NpMo4P2 at its relaxed geometry.

Output
The calculation puts the calculated formation energy at -0.294 eV per atom.

Cell lengths 3.4161, 4.2674, 8.0861 Å; angles 105.30, 90.00, 90.00 degrees
Atoms (fractional coordinates):
1 Np 0.0000 0.0000 0.0000
2 Mo 0.5000 0.8283 0.6566
3 Mo 0.0000 0.6865 0.3731
4 Mo 0.5000 0.1717 0.3434
5 Mo 0.0000 0.3135 0.6269
6 P 0.5000 0.5748 0.1496
7 P 0.5000 0.4252 0.8504



5.
DFT (PBE) results for crystalline KCu2PS4 at its relaxed geometry.

Output
The value obtained for the formation energy (no corrections) is -0.477 eV/atom.

Cell lengths 5.9875, 6.3496, 6.3496 Å; angles 81.91, 61.87, 61.87 degrees
Atoms (fractional coordinates):
1 K 0.0000 0.0000 0.0000
2 Cu 0.5000 0.6584 0.3416
3 Cu 0.5000 0.3416 0.6584
4 P 0.0000 0.5000 0.5000
5 S 0.6403 0.5171 0.8075
6 S 0.3597 0.1925 0.4829
7 S 0.9648 0.4829 0.1925
8 S 0.0352 0.8075 0.5171



6.
DFT (PBE) results for crystalline Ta2Co at its relaxed geometry.

Output
The calculation puts the calculated formation energy at 0.356 eV per atom.

Cell lengths 4.1650, 4.1650, 3.0114 Å; angles 90.00, 90.00, 90.00 degrees
Atoms (fractional coordinates):
1 Co 0.0000 0.0000 0.0000
2 Ta 0.0000 0.5000 0.5000
3 Ta 0.5000 0.0000 0.5000



7.
DFT (PBE) results for crystalline LaTc2P at its relaxed geometry.

Output
The calculation puts the calculated formation energy at 0.242 eV per atom.

Cell lengths 5.2895, 5.2895, 3.0903 Å; angles 73.89, 73.89, 111.10 degrees
Atoms (fractional coordinates):
1 La 0.0000 0.0000 0.0000
2 Tc 0.0000 0.5000 0.0000
3 Tc 0.5000 0.0000 0.0000
4 P 0.5000 0.5000 0.0000



8.
DFT (PBE) results for crystalline NaMnFeN2 at its relaxed geometry.

Output
The value obtained for the formation energy (no corrections) is 1.252 eV/atom.

Cell lengths 3.6793, 4.8619, 3.6793 Å; angles 90.00, 90.00, 90.00 degrees
Atoms (fractional coordinates):
1 Na 0.0000 0.5000 0.0000
2 Mn 0.0000 0.0000 0.0000
3 Fe 0.5000 0.5000 0.5000
4 N 0.0000 0.0000 0.5000
5 N 0.5000 0.0000 0.0000



9.
DFT (PBE) results for crystalline CaRe3C at its relaxed geometry.

Output
The calculation puts the calculated formation energy at 4.628 eV per atom. The value obtained for the energy relative to the lowest polymorph listed for this composition is 4.060 eV per atom.

Cell lengths 4.5883, 4.5883, 4.5883 Å; angles 90.00, 90.00, 90.00 degrees
Atoms (fractional coordinates):
1 Re 0.0000 0.5000 0.0000
2 Re 0.0000 0.0000 0.5000
3 Re 0.5000 0.0000 0.0000
4 Ca 0.0000 0.0000 0.0000
5 C 0.5000 0.5000 0.5000



10.
DFT (PBE) results for crystalline ScRe2As at its relaxed geometry.

Output
The calculation puts the calculated formation energy at 0.323 eV per atom.

Cell lengths 2.9164, 2.9164, 8.4357 Å; angles 90.00, 90.00, 113.41 degrees
Atoms (fractional coordinates):
1 As 0.5000 0.5000 0.7500
2 Re 0.0000 0.0000 0.9820
3 Re 0.0000 0.0000 0.5180
4 Sc 0.5000 0.5000 0.2500



11.
DFT (PBE) results for crystalline Ca4YPb5 at its relaxed geometry.

Output
The calculation puts the calculated formation energy at -0.505 eV per atom.

Cell lengths 3.6040, 3.6040, 22.8829 Å; angles 90.00, 90.00, 90.00 degrees
Atoms (fractional coordinates):
1 Ca 0.0000 0.0000 0.1992
2 Ca 0.0000 0.0000 0.3987
3 Ca 0.0000 0.0000 0.6013
4 Ca 0.0000 0.0000 0.8008
5 Y 0.0000 0.0000 0.0000
6 Pb 0.5000 0.5000 0.0969
7 Pb 0.5000 0.5000 0.2984
8 Pb 0.5000 0.5000 0.5000
9 Pb 0.5000 0.5000 0.7016
10 Pb 0.5000 0.5000 0.9031



12.
DFT (PBE) results for crystalline CsPtIBr6 at its relaxed geometry.

Output
The value obtained for the formation energy (no corrections) is -0.416 eV/atom.

Cell lengths 8.1539, 8.1523, 6.9891 Å; angles 90.00, 89.99, 59.98 degrees
Atoms (fractional coordinates):
1 Cs 0.0000 0.0000 0.0000
2 Pt 0.3333 0.3333 0.5000
3 I 0.6666 0.6666 0.4999
4 Br 0.0803 0.3380 0.2936
5 Br 0.3380 0.0803 0.7065
6 Br 0.5817 0.3380 0.7065
7 Br 0.0803 0.5818 0.7066
8 Br 0.3378 0.5818 0.2934
9 Br 0.5818 0.0803 0.2934



Raw total energy across the listed records, respectively: -24.7 -33.8 -48.6 -69.1 -35.0 -29.7 -30.1 -29.3 -25.4 -34.6 -38.1 -22.2 eV/cell.